SiNiS (PBE, relaxed); energy = -5.225 eV per atom; space-group type = No. 8; size of the total moment = 0.0 μB/f.u.
1.0
4.9563 0.0000 0.0043
0.0000 3.3119 0.0000
-4.5943 0.0000 5.7529
Ni S Si
2 2 2
direct
0.9467 0.0000 0.3530
0.9467 0.5000 0.8530
0.1116 0.0000 0.7197
0.1116 0.5000 0.2197
0.5391 0.0000 0.7095
0.5391 0.5000 0.2095